4
Lattice="0.0000 3.0763 3.0763 3.0763 0.0000 3.0763 3.0763 3.0763 0.0000" Properties=species:S:1:pos:R:3 comment="FeCoCuPb | the Open Quantum Materials Database | PBE | optimized geometry" rho_g_cm3=10.99 final_energy_ev_per_atom=-5.31 relative_energy_mev_per_atom=0 pbc="T T T"
Fe 0.0000 0.0000 0.0000
Co 1.5382 1.5382 1.5382
Cu 4.6145 4.6145 4.6145
Pb 3.0763 3.0763 3.0763